Model w:
The following is a PBE-GGA calculation of a relaxed K2FeAg crystal, from Alexandria.

CIF file:
```
data_K2FeAg
_chemical_formula_sum 'K8 Fe4 Ag4'
_space_group_name_H-M_alt 'F m -3 m'
_space_group_IT_number 225
_space_group_name_Hall '-F 4 2 3'
_cell_length_a 8.1555
_cell_length_b 8.1555
_cell_length_c 8.1555
_cell_angle_alpha 90.00
_cell_angle_beta 90.00
_cell_angle_gamma 90.00
loop_
_atom_site_label
_atom_site_type_symbol
_atom_site_fract_x
_atom_site_fract_y
_atom_site_fract_z
K1 K 0.2500 0.2500 0.2500
Fe1 Fe 0.0000 0.0000 0.0000
Ag1 Ag 0.0000 0.0000 0.5000
```



Model x:
The following is a PBE-GGA calculation of a relaxed K2FeAg crystal, from Alexandria.

CIF file:
```
data_K2FeAg
_chemical_formula_sum 'K4 Fe2 Ag2'
_space_group_name_H-M_alt 'C 1 m 1'
_space_group_IT_number 8
_cell_length_a 12.6137
_cell_length_b 4.1984
_cell_length_c 5.6949
_cell_angle_alpha 90.00
_cell_angle_beta 116.80
_cell_angle_gamma 90.00
loop_
_space_group_symop_operation_xyz
'x,y,z'
'x,-y,z'
'x+1/2,y+1/2,z'
'x+1/2,-y+1/2,z'
loop_
_atom_site_label
_atom_site_type_symbol
_atom_site_fract_x
_atom_site_fract_y
_atom_site_fract_z
K1 K 0.0000 0.0000 0.0000
K2 K 0.2064 0.0000 0.7058
Fe1 Fe 0.2954 0.5000 0.2939
Ag1 Ag 0.4279 0.0000 0.4286
```



Energy above the most stable structure, in meV per atom: model w 151; model x 0